DFT (PBE-GGA) results for a relaxed structure of Al2Ru2Se.

Final energy, eV/atom: -6.089
DOS at the Fermi energy, states/eV/cell: 6.11
Space group: P4/mbm, No. 127
Relative energy among the computed polymorphs, meV per atom: 0
Size of the total moment, μB/atom: 0.000
Energy relative to the elements, uncorrected, meV per atom: -185

a b c (Å): 7.0648 7.0648 3.0766
angles (deg): 90.00 90.00 90.00
Fractional coordinates of all 10 atoms:
Ru 0.3412 0.8412 0.0000
Ru 0.8412 0.6588 0.0000
Ru 0.6588 0.1588 0.0000
Ru 0.1588 0.3412 0.0000
Al 0.1369 0.6369 0.5000
Al 0.6369 0.8631 0.5000
Al 0.8631 0.3631 0.5000
Al 0.3631 0.1369 0.5000
Se 0.0000 0.0000 0.0000
Se 0.5000 0.5000 0.0000

=====

DFT (PBE-GGA) results for a relaxed structure of AlRu2Se.

Final energy, eV/atom: -6.311
DOS at the Fermi energy, states/eV/cell: 4.25
Space group: I-4m2, No. 119
Relative energy among the computed polymorphs, meV per atom: 351
Size of the total moment, μB/atom: 0.000
Energy relative to the elements, uncorrected, meV per atom: 133

a b c (Å): 5.1878 5.1878 5.1878
angles (deg): 139.01 139.01 59.37
Fractional coordinates of all 4 atoms:
Ru 0.0000 0.0000 0.0000
Ru 0.2500 0.7500 0.5000
Al 0.7500 0.2500 0.5000
Se 0.5000 0.5000 0.0000

=====

DFT (PBE-GGA) results for a relaxed structure of AlRuSe2.

Final energy, eV/atom: -5.116
DOS at the Fermi energy, states/eV/cell: 5.67
Space group: I-42d, No. 122
Size of the total moment, μB/atom: 0.000
Energy relative to the elements, uncorrected, meV per atom: -119

a b c (Å): 5.6059 5.6059 6.9140
angles (deg): 66.08 66.08 90.00
Fractional coordinates of all 8 atoms:
Ru 0.0000 0.0000 0.0000
Ru 0.7500 0.2500 0.5000
Al 0.5000 0.5000 0.0000
Al 0.2500 0.7500 0.5000
Se 0.6300 0.1250 0.2500
Se 0.1200 0.6250 0.2500
Se 0.3750 0.3700 0.7500
Se 0.8750 0.8800 0.7500